Compound: Pm4FeO7
Source: Alexandria
Functional: PBE+U
Structure: relaxed

space group = No. 12
density of states at the Fermi level = 0.00 states/eV/atom
V = 176.2 Å³/f.u.
VASP energy = -7.966 eV/atom

Lattice parameters (Å, degrees): 6.8453 6.8453 9.2764 131.21 131.21 34.00
With the nearest neighbours (Å) after each atom.
Positions (direct):
Pm: 0.0861 0.0861 0.3955  5 O 2.33-2.46
Pm: 0.2498 0.2498 0.1585  5 O 2.28-2.50
Pm: 0.7502 0.7502 0.8415  5 O 2.28-2.50
Pm: 0.9139 0.9139 0.6045  5 O 2.33-2.46
Fe: 0.5000 0.5000 0.0000  4 O 2.00-2.03
O: 0.0000 0.0000 0.0000  2 Fe 2.00
O: 0.1321 0.1321 0.6927  4 Pm 2.32-2.38
O: 0.2962 0.2962 0.4453  4 Pm 2.28-2.46
O: 0.4069 0.4069 0.1061  1 Fe 2.03
O: 0.5931 0.5931 0.8939  1 Fe 2.03
O: 0.7038 0.7038 0.5547  4 Pm 2.28-2.46
O: 0.8679 0.8679 0.3073  4 Pm 2.32-2.38